Here is a relaxed K3CoO2 crystal from Alexandria via LeMat-Bulk. Energies are from GGA+U.

Calculated values
- V (A^3/atom) = 22.3
- final energy (eV per atom) = -4.135
- magnetic moment (μB per formula unit) = 2.00

Lattice parameters (Å, degrees): 11.9695 7.3732 6.0570 90.00 90.00 90.00
Sites, in units of the cell vectors:
1 K 0.0948 0.2500 0.2208
2 K 0.1397 0.9996 0.6650
3 K 0.1397 0.5004 0.6650
4 K 0.3603 0.0004 0.1650
5 K 0.3603 0.4996 0.1650
6 K 0.4052 0.7500 0.7208
7 K 0.5948 0.2500 0.2792
8 K 0.6397 0.9996 0.8350
9 K 0.6397 0.5004 0.8350
10 K 0.8603 0.0004 0.3350
11 K 0.8603 0.4996 0.3350
12 K 0.9052 0.7500 0.7792
13 Co 0.1179 0.7500 0.1772
14 Co 0.3821 0.2500 0.6772
15 Co 0.6179 0.7500 0.3229
16 Co 0.8821 0.2500 0.8228
17 O 0.0256 0.7500 0.4049
18 O 0.2170 0.7500 0.9599
19 O 0.2830 0.2500 0.4599
20 O 0.4744 0.2500 0.9049
21 O 0.5256 0.7500 0.0951
22 O 0.7170 0.7500 0.5401
23 O 0.7830 0.2500 0.0401
24 O 0.9744 0.2500 0.5951